Arrangement P

Li2NdZn | PBE | relaxed

Its volume is 283.1 Å³/cell.

It has space group R-3m (No. 166, hexagonal axes), with a = 3.2276 Å, b = 3.2276 Å, c = 31.3838 Å, α = 90.00°, β = 90.00° and γ = 120.00°. Symmetry generates all atoms from Li at (0.0000, 0.0000, 0.1007), Nd at (0.0000, 0.0000, 0.0000) and Zn at (0.0000, 0.0000, 0.5000).

=====

Arrangement Q

Li2NdZn | PBE | relaxed

Its volume is 85.0 Å³/cell.

It has space group P4/mmm (No. 123), with a = 3.437 Å, b = 3.437 Å, c = 7.193 Å, α = 90.00°, β = 90.00° and γ = 90.00°. Symmetry generates all atoms from Li at (0.000, 0.000, 0.183), Nd at (0.500, 0.500, 0.500) and Zn at (0.500, 0.500, 0.000).

=====

Arrangement R

Li2NdZn | PBE | relaxed

Its volume is 325.8 Å³/cell.

It has space group Fm-3m (No. 225), with a = 6.881 Å, b = 6.881 Å, c = 6.881 Å, α = 90.00°, β = 90.00° and γ = 90.00°. Symmetry generates all atoms from Li at (0.250, 0.250, 0.250), Nd at (0.000, 0.000, 0.000) and Zn at (0.000, 0.000, 0.500).

=====

arrangement R comes first in stability; the runner-up is 0.021 eV/atom higher.

=====

Arrangement P

Li2NdZn9 | PBE | relaxed

Its volume is 197.0 Å³/cell.

It has space group P6/mmm (No. 191), with a = 8.7683 Å, b = 8.7683 Å, c = 2.9593 Å, α = 90.00°, β = 90.00° and γ = 120.00°. Symmetry generates all atoms from Li at (0.3333, 0.6667, 0.0000), Nd at (0.0000, 0.0000, 0.0000), Zn at (0.0000, 0.5000, 0.0000) and Zn at (0.1847, 0.3695, 0.5000).

=====

Arrangement Q

Li2NdZn9 | PBE | relaxed

Its volume is 611.3 Å³/cell.

It has space group R-3m (No. 166, hexagonal axes), with a = 5.2959 Å, b = 5.2959 Å, c = 25.1668 Å, α = 90.00°, β = 90.00° and γ = 120.00°. Symmetry generates all atoms from Li at (0.0000, 0.0000, 0.1434), Nd at (0.0000, 0.0000, 0.0000), Zn at (0.0000, 0.0000, 0.3345), Zn at (0.0000, 0.0000, 0.5000) and Zn at (0.0067, 0.5033, 0.9134).

=====

arrangement Q comes first in stability; the runner-up is 0.119 eV/atom higher.

=====

Arrangement P

LiNdZn3 | PBE | relaxed

Its volume is 96.1 Å³/cell.

It has space group Pm-3m (No. 221), with a = 4.580 Å, b = 4.580 Å, c = 4.580 Å, α = 90.00°, β = 90.00° and γ = 90.00°. Symmetry generates all atoms from Li at (0.000, 0.000, 0.000), Nd at (0.500, 0.500, 0.500) and Zn at (0.000, 0.000, 0.500).

=====

Arrangement Q

LiNdZn3 | PBE | relaxed

Its volume is 199.3 Å³/cell.

It has space group Pm (No. 6), with a = 4.332 Å, b = 12.071 Å, c = 4.366 Å, α = 90.00°, β = 119.22° and γ = 90.00°. Symmetry generates all atoms from Li at (0.000, 0.219, 0.000), Nd at (0.000, 0.500, 0.982), Nd at (0.333, 0.000, 0.677), Zn at (0.334, 0.298, 0.660), Zn at (0.666, 0.146, 0.342) and Zn at (0.667, 0.354, 0.321).

=====

arrangement Q comes first in stability; the runner-up is 0.109 eV/atom higher.

=====

Arrangement P

Li3NdZn3 | PBE | relaxed

Its volume is 290.4 Å³/cell.

It has space group Pm-3n (No. 223), with a = 6.622 Å, b = 6.622 Å, c = 6.622 Å, α = 90.00°, β = 90.00° and γ = 90.00°. Symmetry generates all atoms from Li at (0.000, 0.250, 0.500), Nd at (0.000, 0.000, 0.000) and Zn at (0.000, 0.500, 0.250).

=====

Arrangement Q

Li3NdZn3 | PBE | relaxed

Its volume is 274.7 Å³/cell.

It has space group P6_3/m (No. 176), with a = 8.1053 Å, b = 8.1053 Å, c = 4.8276 Å, α = 90.00°, β = 90.00° and γ = 120.00°. Symmetry generates all atoms from Li at (0.0197, 0.2352, 0.2500), Nd at (0.3333, 0.6667, 0.7500) and Zn at (0.0848, 0.6003, 0.2500).

=====

arrangement Q comes first in stability; the runner-up is 0.350 eV/atom higher.